(1)
# Mn2ReOs

An optimized crystal structure of Mn2ReOs (PBE, the Alexandria database).

Properties
- E_form: 0.08 eV/atom
- Fermi-level density of states: 0.991 states/eV per atom
- Magnetization: 2.006 μB per formula unit

a = 2.657 Å, b = 2.657 Å, c = 7.377 Å
α = 90.00°, β = 90.00°, γ = 90.00°
Positions (direct):
Mn  0.000  0.000  0.006
Mn  0.000  0.000  0.494
Os  0.500  0.500  0.250
Re  0.500  0.500  0.750

=====

(2)
# BaScBe3

An optimized crystal structure of BaScBe3 (PBE, the Alexandria database).

Properties
- E_form: 1.88 eV/atom
- Fermi-level density of states: 0.591 states/eV per atom
- Magnetization: 0.000 μB per formula unit
- E above lowest polymorph: 829 meV/atom

a = 4.931 Å, b = 4.931 Å, c = 4.931 Å
α = 90.00°, β = 90.00°, γ = 90.00°
Positions (direct):
Sc  0.500  0.500  0.500
Be  0.000  0.500  0.000
Be  0.000  0.000  0.500
Be  0.500  0.000  0.000
Ba  0.000  0.000  0.000